Below is SrTa2Ni after structural relaxation, with properties calculated at the PBE level.

Values from the calculation:
Its polymorph energy (0 for the lowest one) is 0.805 eV/atom. As for the calculated formation energy: 1.14 eV per atom.

CIF file:
```
data_SrTa2Ni
_chemical_formula_sum 'Sr1 Ta2 Ni1'
_symmetry_space_group_name_H-M 'P 1'
_symmetry_Int_Tables_number 1
_cell_length_a 4.7030
_cell_length_b 4.7030
_cell_length_c 4.7030
_cell_angle_alpha 60.00
_cell_angle_beta 60.00
_cell_angle_gamma 60.00
loop_
_symmetry_equiv_pos_as_xyz
'x,y,z'
loop_
_atom_site_label
_atom_site_type_symbol
_atom_site_fract_x
_atom_site_fract_y
_atom_site_fract_z
Sr1 Sr 0.5000 0.5000 0.5000
Ni1 Ni 0.0000 0.0000 0.0000
Ta1 Ta 0.2500 0.2500 0.2500
Ta2 Ta 0.7500 0.7500 0.7500
```



Below is SrTa2Ni after structural relaxation, with properties calculated at the PBE level.

Values from the calculation:
Its polymorph energy (0 for the lowest one) is 0.419 eV/atom. As for the calculated formation energy: 0.75 eV per atom.

CIF file:
```
data_SrTa2Ni
_chemical_formula_sum 'Sr1 Ta2 Ni1'
_symmetry_space_group_name_H-M 'P 1'
_symmetry_Int_Tables_number 1
_cell_length_a 5.2125
_cell_length_b 3.0434
_cell_length_c 5.1377
_cell_angle_alpha 80.72
_cell_angle_beta 90.00
_cell_angle_gamma 90.00
loop_
_symmetry_equiv_pos_as_xyz
'x,y,z'
loop_
_atom_site_label
_atom_site_type_symbol
_atom_site_fract_x
_atom_site_fract_y
_atom_site_fract_z
Ni1 Ni 0.5000 0.2500 0.2500
Sr1 Sr 0.5000 0.7500 0.7500
Ta1 Ta 0.0000 0.0415 0.0277
Ta2 Ta 0.0000 0.4585 0.4723
```



Below is Sr3TaNi after structural relaxation, with properties calculated at the PBE level.

Values from the calculation:
Its polymorph energy (0 for the lowest one) is 0.000 eV/atom. As for the calculated formation energy: 0.91 eV per atom.

CIF file:
```
data_Sr3TaNi
_chemical_formula_sum 'Sr3 Ta1 Ni1'
_symmetry_space_group_name_H-M 'P 1'
_symmetry_Int_Tables_number 1
_cell_length_a 5.6390
_cell_length_b 5.6390
_cell_length_c 5.6390
_cell_angle_alpha 90.00
_cell_angle_beta 90.00
_cell_angle_gamma 90.00
loop_
_symmetry_equiv_pos_as_xyz
'x,y,z'
loop_
_atom_site_label
_atom_site_type_symbol
_atom_site_fract_x
_atom_site_fract_y
_atom_site_fract_z
Sr1 Sr 0.0000 0.5000 0.0000
Sr2 Sr 0.0000 0.0000 0.5000
Sr3 Sr 0.5000 0.0000 0.0000
Ni1 Ni 0.0000 0.0000 0.0000
Ta1 Ta 0.5000 0.5000 0.5000
```



Below is SrTa2Ni after structural relaxation, with properties calculated at the PBE level.

Values from the calculation:
Its polymorph energy (0 for the lowest one) is 0.883 eV/atom. As for the calculated formation energy: 1.22 eV per atom.

CIF file:
```
data_SrTa2Ni
_chemical_formula_sum 'Sr1 Ta2 Ni1'
_symmetry_space_group_name_H-M 'P 1'
_symmetry_Int_Tables_number 1
_cell_length_a 4.9477
_cell_length_b 4.9477
_cell_length_c 3.0607
_cell_angle_alpha 90.00
_cell_angle_beta 90.00
_cell_angle_gamma 90.00
loop_
_symmetry_equiv_pos_as_xyz
'x,y,z'
loop_
_atom_site_label
_atom_site_type_symbol
_atom_site_fract_x
_atom_site_fract_y
_atom_site_fract_z
Ni1 Ni 0.5000 0.0000 0.5000
Sr1 Sr 0.0000 0.5000 0.5000
Ta1 Ta 0.0000 0.0000 0.0000
Ta2 Ta 0.5000 0.5000 0.0000
```



Below is SrTa2Ni after structural relaxation, with properties calculated at the PBE level.

Values from the calculation:
Its polymorph energy (0 for the lowest one) is 0.201 eV/atom. As for the calculated formation energy: 0.54 eV per atom.

CIF file:
```
data_SrTa2Ni
_chemical_formula_sum 'Sr1 Ta2 Ni1'
_symmetry_space_group_name_H-M 'P 1'
_symmetry_Int_Tables_number 1
_cell_length_a 5.1203
_cell_length_b 5.1203
_cell_length_c 6.2719
_cell_angle_alpha 78.80
_cell_angle_beta 78.80
_cell_angle_gamma 35.09
loop_
_symmetry_equiv_pos_as_xyz
'x,y,z'
loop_
_atom_site_label
_atom_site_type_symbol
_atom_site_fract_x
_atom_site_fract_y
_atom_site_fract_z
Ni1 Ni 0.5287 0.5287 0.4194
Sr1 Sr 0.7684 0.7684 0.7183
Ta1 Ta 0.9702 0.9702 0.1329
Ta2 Ta 0.2327 0.2327 0.2294
```



Below is Sr4TaNi after structural relaxation, with properties calculated at the PBE level.

Values from the calculation:
As for the calculated formation energy: 1.42 eV per atom.

CIF file:
```
data_Sr4TaNi
_chemical_formula_sum 'Sr4 Ta1 Ni1'
_symmetry_space_group_name_H-M 'P 1'
_symmetry_Int_Tables_number 1
_cell_length_a 6.7435
_cell_length_b 6.7435
_cell_length_c 6.7435
_cell_angle_alpha 60.00
_cell_angle_beta 60.00
_cell_angle_gamma 60.00
loop_
_symmetry_equiv_pos_as_xyz
'x,y,z'
loop_
_atom_site_label
_atom_site_type_symbol
_atom_site_fract_x
_atom_site_fract_y
_atom_site_fract_z
Sr1 Sr 0.8743 0.3752 0.3752
Sr2 Sr 0.3752 0.3752 0.8743
Sr3 Sr 0.3752 0.8743 0.3752
Sr4 Sr 0.3752 0.3752 0.3752
Ta1 Ta 0.7500 0.7500 0.7500
Ni1 Ni 0.0000 0.0000 0.0000
```